Entry 1:
The following is a DFT calculation (PBE) of a relaxed structure of Pm2SmDy5Tm.

Volume = 32.53 A^3/atom
Theoretical density = 8.06 g/cm3

a b c (Å): 8.6857 8.6857 15.5230
angles (deg): 90.00 90.00 90.00
Last column: nearest neighbours and their distance in Å.
Space group I4/mcm (No. 140)
Symmetry-distinct sites (fractional):
Pm  0.1169  0.3831  0.0000 [8 per cell]  1 Pm 2.87, 2 Dy 3.02
Sm  0.0000  0.0000  0.2500 [4 per cell]  10 Dy 3.56-3.88
Dy  0.0000  0.0000  0.0000 [4 per cell]  4 Pm 3.48, 8 Dy 3.78, 2 Sm 3.88
Dy  0.2108  0.2892  0.3615 [16 per cell]  1 Pm 3.02, 1 Tm 3.11
Tm  0.0000  0.5000  0.2500 [4 per cell]  4 Dy 3.11

=====

Entry 2:
The following is a DFT calculation (PBE) of a relaxed structure of PmSm4Dy2Tm.

Volume = 33.72 A^3/atom
Theoretical density = 7.64 g/cm3

a b c (Å): 13.6836 13.2958 6.8489
angles (deg): 90.00 120.02 90.00
Last column: nearest neighbours and their distance in Å.
Space group C2/c (No. 15)
Symmetry-distinct sites (fractional):
Pm  0.2500  0.2500  0.0000 [4 per cell]  6 Sm 3.34-3.43, 2 Dy 3.42
Sm  0.9998  0.2479  0.0005 [8 per cell]  1 Tm 3.30, 3 Dy 3.35-3.42, 2 Sm 3.42-3.43, 2 Pm 3.42-3.43
Sm  0.2486  0.0016  0.4953 [8 per cell]  3 Dy 3.30-3.45, 1 Pm 3.34, 2 Tm 3.40-3.42, 2 Sm 3.42
Dy  0.0000  0.5000  0.0000 [4 per cell]  6 Sm 3.35-3.45, 2 Dy 3.42
Dy  0.2500  0.2500  0.5000 [4 per cell]  6 Sm 3.30-3.42, 2 Pm 3.42
Tm  0.0000  0.0000  0.0000 [4 per cell]  6 Sm 3.30-3.42, 2 Tm 3.42

=====

Entry 3:
The following is a DFT calculation (PBE) of a relaxed structure of Pm6Sm3Dy2Tm.

Volume = 33.30 A^3/atom
Theoretical density = 7.54 g/cm3

a b c (Å): 6.2669 10.8537 11.9348
angles (deg): 90.00 100.07 90.00
Last column: nearest neighbours and their distance in Å.
Space group C2/m (No. 12)
Symmetry-distinct sites (fractional):
Pm  0.2492  0.1664  0.2470 [8 per cell]  2 Dy 3.58, 1 Tm 3.58, 6 Pm 3.61-3.62, 3 Sm 3.63
Pm  0.2502  0.0000  0.7528 [4 per cell]  1 Tm 3.57, 2 Dy 3.58, 6 Pm 3.61-3.62, 3 Sm 3.63
Sm  0.0000  0.1666  0.5000 [4 per cell]  6 Sm 3.62, 6 Pm 3.63
Sm  0.0000  0.5000  0.5000 [2 per cell]  6 Sm 3.62, 6 Pm 3.63
Dy  0.0000  0.3333  0.0000 [4 per cell]  6 Pm 3.58, 3 Dy 3.62, 3 Tm 3.62
Tm  0.0000  0.0000  0.0000 [2 per cell]  6 Pm 3.57-3.58, 6 Dy 3.62

=====

Entry 4:
The following is a DFT calculation (PBE) of a relaxed structure of Pm4Sm2DyTm.

Volume = 33.97 A^3/atom
Theoretical density = 7.41 g/cm3

a b c (Å): 13.7224 13.2916 6.8711
angles (deg): 90.00 119.86 90.00
Last column: nearest neighbours and their distance in Å.
Space group C2/c (No. 15)
Symmetry-distinct sites (fractional):
Pm  0.0037  0.2454  0.0030 [8 per cell]  1 Tm 3.26, 3 Sm 3.38-3.48, 2 Dy 3.41-3.47, 2 Pm 3.43-3.45
Pm  0.2475  0.0013  0.4687 [8 per cell]  1 Dy 3.31, 2 Tm 3.32-3.51, 3 Sm 3.35-3.57, 2 Pm 3.44
Sm  0.0000  0.5000  0.0000 [4 per cell]  6 Pm 3.36-3.57, 2 Sm 3.44
Sm  0.2500  0.2500  0.0000 [4 per cell]  6 Pm 3.35-3.48, 2 Dy 3.44
Dy  0.2500  0.2500  0.5000 [4 per cell]  6 Pm 3.31-3.47, 2 Sm 3.44
Tm  0.0000  0.0000  0.0000 [4 per cell]  6 Pm 3.26-3.51, 2 Tm 3.44

=====

The following total DFT energy (no corrections) values (in eV/cell) correspond, in order, to the records above: -156.9 -136.0 -112.3 -137.3.